1.
Density functional theory data (PBE) for a relaxed KTl2Ag2Cl7 crystal.

```
KTl2Ag2Cl7
1.0
3.649 -3.648 0.000
3.649 3.648 0.000
-3.632 0.000 12.814
K Tl Ag Cl
1 2 2 7
Cartesian
0.000 0.000 0.000
0.037 0.000 4.638
3.629 0.000 8.176
0.018 0.000 10.280
3.648 0.000 2.534
1.827 1.827 2.430
0.041 0.000 7.734
1.839 1.827 10.384
3.649 0.000 0.000
1.827 -1.827 2.430
3.625 0.000 5.080
1.839 -1.827 10.384
```

Summary:
Raw total energy in Ha/atom: -0.1066
Crystal system: monoclinic
Formation energy without anion corrections in kJ/mol of atoms: -83
Space-group type: C2/m



2.
Density functional theory data (PBE) for a relaxed LiThAg2 crystal.

```
LiThAg2
1.0
3.325 0.000 0.000
0.000 3.325 0.000
0.000 0.000 7.538
Li Th Ag
1 1 2
Cartesian
0.000 0.000 0.000
0.000 0.000 3.769
1.663 1.663 1.478
1.663 1.663 6.060
```

Summary:
Excess energy over the best structure of this formula in the dataset in kcal/mol of atoms: 0.00
Raw total energy in Ha/atom: -0.1423
Crystal system: tetragonal
Space-group type: P4/mmm



3.
Density functional theory data (PBE) for a relaxed CoRe2Ru crystal.

```
CoRe2Ru
1.0
4.404 -1.350 0.000
4.404 1.350 0.000
-0.790 0.000 4.613
Co Re Ru
1 2 1
Cartesian
0.000 0.000 0.000
1.649 0.000 3.642
4.028 0.000 2.332
6.427 0.000 1.232
```

Summary:
Excess energy over the best structure of this formula in the dataset in kcal/mol of atoms: 3.16
Raw total energy in Ha/atom: -0.3763
Crystal system: monoclinic
Space-group type: Cm



4.
Density functional theory data (PBE) for a relaxed LaTmGaRh crystal.

```
LaTmGaRh
1.0
0.000 3.581 3.581
3.581 0.000 3.581
3.581 3.581 0.000
La Tm Ga Rh
1 1 1 1
Cartesian
0.000 0.000 0.000
3.581 3.581 3.581
5.371 5.371 5.371
1.790 1.790 1.790
```

Summary:
Raw total energy in Ha/atom: -0.2038
Crystal system: cubic
Space-group type: F-43m



5.
Density functional theory data (PBE) for a relaxed SrTl2Ru crystal.

```
SrTl2Ru
1.0
3.499 0.000 0.000
0.000 3.499 0.000
0.000 0.000 7.883
Sr Tl Ru
1 2 1
Cartesian
0.000 0.000 0.000
1.750 1.750 2.378
1.750 1.750 5.506
0.000 0.000 3.942
```

Summary:
Raw total energy in Ha/atom: -0.1387
Crystal system: tetragonal
Space-group type: P4/mmm



6.
Density functional theory data (PBE) for a relaxed AcNdS2O crystal.

```
AcNdS2O
1.0
4.127 0.000 0.000
0.000 4.127 0.000
0.000 0.000 14.514
Ac Nd S O
2 2 4 2
Cartesian
1.032 1.032 1.332
3.095 3.095 13.182
1.032 1.032 9.011
3.095 3.095 5.503
1.032 1.032 5.922
1.032 1.032 11.596
3.095 3.095 2.918
3.095 3.095 8.591
1.032 3.095 0.000
3.095 1.032 0.000
```

Summary:
Raw total energy in Ha/atom: -0.2548
Crystal system: tetragonal
Formation energy without anion corrections in kJ/mol of atoms: -243
Space-group type: P4/nmm



7.
Density functional theory data (PBE) for a relaxed ScCd2As2 crystal.

```
ScCd2As2
1.0
7.417 0.000 0.000
0.000 7.417 0.000
0.000 0.000 3.979
Sc Cd As
2 4 4
Cartesian
0.000 0.000 0.000
3.708 3.708 0.000
1.061 2.648 1.990
2.648 6.356 1.990
4.769 1.061 1.990
6.356 4.769 1.990
1.247 4.955 0.000
2.461 1.247 0.000
4.955 6.170 0.000
6.170 2.461 0.000
```

Summary:
Raw total energy in Ha/atom: -0.1379
Crystal system: tetragonal
Space-group type: P4/mbm



8.
Density functional theory data (PBE) for a relaxed Ag3SnN crystal.

```
Ag3SnN
1.0
4.524 0.000 0.000
0.000 4.524 0.000
0.000 0.000 4.524
Ag Sn N
3 1 1
Cartesian
0.000 0.000 2.262
0.000 2.262 0.000
2.262 0.000 0.000
2.262 2.262 2.262
0.000 0.000 0.000
```

Summary:
Excess energy over the best structure of this formula in the dataset in kcal/mol of atoms: 0.00
Raw total energy in Ha/atom: -0.1306
Crystal system: cubic
Formation energy without anion corrections in kJ/mol of atoms: 60
Space-group type: Pm-3m



9.
Density functional theory data (PBE) for a relaxed AlFe2C crystal.

```
AlFe2C
1.0
1.406 0.812 6.169
-1.406 0.812 6.169
0.000 -1.623 6.169
Al Fe C
1 2 1
Cartesian
0.000 0.000 0.000
0.000 0.000 4.128
0.000 0.000 8.219
0.000 0.000 15.440
```

Summary:
Raw total energy in Ha/atom: -0.2770
Crystal system: trigonal
Space-group type: R3m



10.
Density functional theory data (PBE) for a relaxed KMgAg2 crystal.

```
KMgAg2
1.0
4.667 -1.563 0.000
4.667 1.563 0.000
-0.837 0.000 7.307
K Mg Ag
1 1 2
Cartesian
0.000 0.000 0.000
4.249 0.000 3.654
1.624 0.000 4.856
6.873 0.000 2.452
```

Summary:
Raw total energy in Ha/atom: -0.0747
Crystal system: monoclinic
Space-group type: C2/m



11.
Density functional theory data (PBE) for a relaxed BaAsN crystal.

```
BaAsN
1.0
4.582 -2.754 0.000
4.582 2.754 0.000
-0.005 0.000 6.498
Ba As N
2 2 2
Cartesian
0.000 0.000 0.000
6.039 0.000 3.249
3.089 0.000 1.250
3.084 0.000 5.249
0.770 0.000 3.261
8.775 0.000 3.271
```

Summary:
Excess energy over the best structure of this formula in the dataset in kcal/mol of atoms: 1.60
Raw total energy in Ha/atom: -0.2046
Crystal system: monoclinic
Formation energy without anion corrections in kJ/mol of atoms: -58
Space-group type: Cm



12.
Density functional theory data (PBE) for a relaxed Tl2In5Hg2 crystal.

```
Tl2In5Hg2
1.0
7.786 -2.815 0.000
7.786 2.815 0.000
-1.739 0.000 5.726
Tl In Hg
2 5 2
Cartesian
2.076 0.000 1.984
11.758 0.000 3.742
-0.463 0.000 4.458
5.342 0.000 2.558
7.786 0.000 0.000
8.493 0.000 3.168
14.297 0.000 1.269
2.815 0.000 5.221
11.019 0.000 0.505
```

Summary:
Raw total energy in Ha/atom: -0.0771
Crystal system: monoclinic
Space-group type: C2/m



| no. | magnetization (μB per formula unit) | Fermi-level density of states (states/eV/f.u.) |
| --- | --- | --- |
| 1 | 0.00 | 2.999 |
| 2 | 0.00 | 2.435 |
| 3 | 0.00 | 4.271 |
| 4 | 0.00 | 3.838 |
| 5 | 0.00 | 1.776 |
| 6 | 0.00 | 1.027 |
| 7 | 0.33 | 3.505 |
| 8 | 0.00 | 1.516 |
| 9 | 2.02 | 1.961 |
| 10 | 0.00 | 1.818 |
| 11 | 0.00 | 0.479 |
| 12 | 0.00 | 3.182 |